VASP calculation (PBE-GGA) on an optimized crystal structure of CsYMnI6.

Cell lengths 7.7390, 7.7390, 8.7461 Å; angles 90.02, 90.02, 120.02 degrees
Element x y z (fractional)
1 Cs 0.0000 0.0000 0.0000
2 Y 0.3334 0.6666 0.5000
3 Mn 0.6667 0.3333 0.5000
4 I 0.3778 0.0114 0.3035
5 I 0.3781 0.3664 0.6964
6 I 0.6339 0.0118 0.6965
7 I 0.6336 0.6219 0.3036
8 I 0.9882 0.3661 0.3035
9 I 0.9886 0.6222 0.6965

Calculated values
- Formation energy without anion corrections: -1117 meV per atom
- Space-group type: C2, No. 5